[1]
Entry from Alexandria via LeMat-Bulk: a relaxed structure of Tl2CdIn (PBE).

Computed properties:
The value obtained for the calculated formation energy is 17 kJ/mol of formula units. For the total magnetization, the calculation gives 0.00 μB per cell.

abc: 5.9025 5.9025 6.2327
angles: 77.96 77.96 32.13
Closest atoms and distances in Å follow each position.
Element x y z (fractional)
In (0.2425, 0.2425, 0.2576)  3 Cd 3.23-3.59, 2 In 3.27, 7 Tl 3.39-3.58
Tl (0.9966, 0.9966, 0.0061)  5 Tl 3.27-3.47, 3 In 3.39-3.48, 4 Cd 3.48-3.56
Tl (0.7571, 0.7571, 0.7409)  5 Tl 3.27-3.47, 3 Cd 3.31-3.54, 4 In 3.46-3.58
Cd (0.5038, 0.5038, 0.4955)  3 In 3.23-3.59, 2 Cd 3.27, 7 Tl 3.31-3.56

---

[2]
Entry from Alexandria via LeMat-Bulk: a relaxed structure of Tl2Cd2In7 (PBE).

Computed properties:
The value obtained for the calculated formation energy is 49 kJ/mol of formula units. For the total magnetization, the calculation gives 0.00 μB per cell.

abc: 7.4594 6.0498 7.4594
angles: 105.23 80.59 105.23
Closest atoms and distances in Å follow each position.
Element x y z (fractional)
In (0.1105, 0.3490, 0.5497)  4 In 3.05-3.27, 2 Cd 3.09-3.34
In (0.7451, 0.0562, 0.7451)  2 Cd 3.04-3.18, 5 In 3.13-3.20
In (0.2549, 0.9438, 0.2549)  2 Cd 3.04-3.18, 5 In 3.13-3.20
In (0.5497, 0.3490, 0.1105)  4 In 3.05-3.27, 2 Cd 3.09-3.34
In (0.0000, 0.5000, 0.0000)  6 In 3.20-3.27, 4 Tl 3.53
In (0.4503, 0.6510, 0.8895)  4 In 3.05-3.27, 2 Cd 3.09-3.34
In (0.8895, 0.6510, 0.4503)  4 In 3.05-3.27, 2 Cd 3.09-3.34
Cd (0.5409, 0.2748, 0.5409)  6 In 3.04-3.34, 2 Cd 3.13-3.17, 2 Tl 3.39
Cd (0.4591, 0.7252, 0.4591)  6 In 3.04-3.34, 2 Cd 3.13-3.17, 2 Tl 3.39
Tl (0.8120, 0.0000, 0.1880)  2 Cd 3.39, 8 In 3.44-3.63, 1 Tl 3.63
Tl (0.1880, 0.0000, 0.8120)  2 Cd 3.39, 8 In 3.44-3.63, 1 Tl 3.63

---

[3]
Entry from Alexandria via LeMat-Bulk: a relaxed structure of Tl2Cd5In12 (PBE).

Computed properties:
The value obtained for the calculated formation energy is 82 kJ/mol of formula units. For the total magnetization, the calculation gives 0.00 μB per cell.

abc: 5.9436 10.2000 10.2000
angles: 59.33 79.22 79.22
Closest atoms and distances in Å follow each position.
Element x y z (fractional)
In (0.2176, 0.0242, 0.5635)  6 In 3.13-3.42, 4 Cd 3.17-3.30
In (0.7824, 0.4365, 0.9758)  6 In 3.13-3.42, 4 Cd 3.17-3.30
In (0.6459, 0.6230, 0.6230)  4 In 3.07-3.28, 3 Cd 3.15-3.20, 2 Tl 3.25
In (0.6261, 0.1549, 0.6506)  3 In 3.07-3.42, 3 Cd 3.08-3.21, 1 Tl 3.16
In (0.7824, 0.9758, 0.4365)  6 In 3.13-3.42, 4 Cd 3.17-3.30
In (0.3739, 0.8451, 0.3494)  3 In 3.07-3.42, 3 Cd 3.08-3.21, 1 Tl 3.16
In (0.3739, 0.3494, 0.8451)  3 In 3.07-3.42, 3 Cd 3.08-3.21, 1 Tl 3.16
In (0.2176, 0.5635, 0.0242)  6 In 3.13-3.42, 4 Cd 3.17-3.30
In (0.0397, 0.9093, 0.9093)  3 In 3.13-3.15, 4 Cd 3.26-3.48
In (0.6261, 0.6506, 0.1549)  3 In 3.07-3.42, 3 Cd 3.08-3.21, 1 Tl 3.16
In (0.9603, 0.0907, 0.0907)  3 In 3.13-3.15, 4 Cd 3.26-3.48
In (0.3541, 0.3770, 0.3770)  4 In 3.07-3.28, 3 Cd 3.15-3.20, 2 Tl 3.25
Cd (0.6032, 0.8061, 0.8061)  8 In 3.09-3.45, 2 Cd 3.25-3.36
Cd (0.3968, 0.1939, 0.1939)  8 In 3.09-3.45, 2 Cd 3.25-3.36
Cd (0.8979, 0.3135, 0.3135)  8 In 3.15-3.30, 1 Cd 3.25
Cd (0.5000, 0.0000, 0.0000)  6 In 3.08-3.26, 2 Cd 3.36
Cd (0.1021, 0.6865, 0.6865)  8 In 3.15-3.30, 1 Cd 3.25
Tl (0.0000, 0.3186, 0.6814)  4 In 3.16-3.25
Tl (0.0000, 0.6814, 0.3186)  4 In 3.16-3.25

---

Number 1: volume 112.73 Å³ per cell. Number 2: volume 311.77 Å³ per cell. Number 3: volume 519.44 Å³ per cell.